4
Lattice="-1.6692 2.3583 5.6222 1.6692 -2.3583 5.6222 1.6692 2.3583 -5.6222" Properties=species:S:1:pos:R:3 comment="ScCoPb2 (PBE-GGA, relaxed)" total_magnetization_mub_per_atom=0.1451 space_group="Imm2, No. 44" relative_energy_mev_per_atom=110 total_energy_ev_per_atom=-5.130 ef_kcal_per_mol_atoms=1.9 pbc="T T T"
Sc 0.0000 0.0000 0.0000
Co 1.6692 0.0000 2.0345
Pb 0.0000 0.0000 4.4841
Pb 0.0000 2.3583 2.1145

***

11
Lattice="4.0793 -6.2019 0.0000 4.0793 6.2019 0.0000 -1.1205 0.0000 4.7188" Properties=species:S:1:pos:R:3 comment="Sc8Co2Pb (PBE-GGA, relaxed)" total_magnetization_mub_per_atom=0.1057 space_group="C2/m, No. 12" total_energy_ev_per_atom=-6.443 ef_kcal_per_mol_atoms=-4.8 pbc="T T T"
Sc -0.0240 0.0000 3.7668
Sc 1.9572 1.6441 2.0098
Sc 4.0793 3.1323 0.0000
Sc 1.9572 -1.6441 2.0098
Sc 5.0809 1.6441 2.7090
Sc 4.0793 -3.1323 0.0000
Sc 5.0809 -1.6441 2.7090
Sc 7.0621 0.0000 0.9520
Co 3.5191 3.8627 2.3594
Co 3.5191 -3.8627 2.3594
Pb 4.0793 0.0000 0.0000

***

3
Lattice="0.0000 3.1290 3.1290 3.1290 0.0000 3.1290 3.1290 3.1290 0.0000" Properties=species:S:1:pos:R:3 comment="ScCoPb (PBE-GGA, relaxed)" total_magnetization_mub_per_atom=0.1927 space_group="F-43m, No. 216" total_energy_ev_per_atom=-5.847 ef_kcal_per_mol_atoms=-3.0 pbc="T T T"
Sc 0.0000 0.0000 0.0000
Co 4.6935 4.6935 4.6935
Pb 3.1290 3.1290 3.1290

***

4
Lattice="3.8363 0.0000 0.0000 0.0000 1.8720 4.7185 0.0000 -1.8720 4.7185" Properties=species:S:1:pos:R:3 comment="ScCo2Pb (PBE-GGA, relaxed)" total_magnetization_mub_per_atom=0.1242 space_group="Amm2, No. 38" total_energy_ev_per_atom=-6.070 ef_kcal_per_mol_atoms=-0.2 pbc="T T T"
Sc 0.0000 0.0000 0.0000
Co 0.0000 0.0000 6.6543
Co 1.9182 0.0000 5.3910
Pb 1.9182 0.0000 2.7590

***

4
Lattice="3.2442 0.0000 0.0000 0.0000 3.2699 0.0000 -0.0106 0.0000 6.1484" Properties=species:S:1:pos:R:3 comment="ScCo2Pb (PBE-GGA, relaxed)" total_magnetization_mub_per_atom=0.3118 space_group="P2/m, No. 10" total_energy_ev_per_atom=-6.018 ef_kcal_per_mol_atoms=1.0 pbc="T T T"
Sc 0.0000 0.0000 0.0000
Co 1.6118 1.6349 4.6692
Co 1.6218 1.6349 1.4791
Pb -0.0053 0.0000 3.0742

***

8
Lattice="-3.8714 3.8714 3.0226 3.8714 -3.8714 3.0226 3.8714 3.8714 -3.0226" Properties=species:S:1:pos:R:3 comment="ScCoPb2 (PBE-GGA, relaxed)" total_magnetization_mub_per_atom=0.0000 space_group="I-42d, No. 122" relative_energy_mev_per_atom=188 total_energy_ev_per_atom=-5.051 ef_kcal_per_mol_atoms=3.7 pbc="T T T"
Sc 0.0000 0.0000 0.0000
Sc 0.0000 3.8714 1.5113
Co 3.8714 0.0000 1.5113
Co 0.0000 0.0000 3.0226
Pb 1.9357 2.3272 -0.7556
Pb 5.4156 1.9357 0.7556
Pb 1.9357 1.5442 2.2669
Pb -1.5442 1.9357 3.7782

***

Repeat the sixth record exactly.
8
Lattice="-3.8714 3.8714 3.0226 3.8714 -3.8714 3.0226 3.8714 3.8714 -3.0226" Properties=species:S:1:pos:R:3 comment="ScCoPb2 (PBE-GGA, relaxed)" total_magnetization_mub_per_atom=0.0000 space_group="I-42d, No. 122" relative_energy_mev_per_atom=188 total_energy_ev_per_atom=-5.051 ef_kcal_per_mol_atoms=3.7 pbc="T T T"
Sc 0.0000 0.0000 0.0000
Sc 0.0000 3.8714 1.5113
Co 3.8714 0.0000 1.5113
Co 0.0000 0.0000 3.0226
Pb 1.9357 2.3272 -0.7556
Pb 5.4156 1.9357 0.7556
Pb 1.9357 1.5442 2.2669
Pb -1.5442 1.9357 3.7782